# 1
Material: ScSeCl
Method: DFT, PBE
State: relaxed

a = 7.1849 Å, b = 7.1849 Å, c = 7.1849 Å
α = 153.11°, β = 153.11°, γ = 38.39°
Sites, in units of the cell vectors:
Sc: 0.0000 0.0000 0.0000
Se: 0.3959 0.3959 0.0000
Cl: 0.6266 0.6266 0.0000

E_form (uncorrected)	-1.482	eV/atom



# 2
Material: ScSeCl2
Method: DFT, PBE
State: relaxed

a = 5.3130 Å, b = 5.3130 Å, c = 5.3130 Å
α = 132.57°, β = 132.57°, γ = 69.32°
Sites, in units of the cell vectors:
Sc: 0.0000 0.0000 0.0000
Se: 0.2500 0.7500 0.5000
Cl: 0.5000 0.5000 0.0000
Cl: 0.7500 0.2500 0.5000

E_form (uncorrected)	-0.769	eV/atom



# 3
Material: ScSe4Cl
Method: DFT, PBE
State: relaxed

a = 5.6601 Å, b = 5.6601 Å, c = 5.6601 Å
α = 60.00°, β = 60.00°, γ = 60.00°
Sites, in units of the cell vectors:
Sc: 0.0000 0.0000 0.0000
Se: 0.1235 0.6255 0.6255
Se: 0.6255 0.1235 0.6255
Se: 0.6255 0.6255 0.1235
Se: 0.6255 0.6255 0.6255
Cl: 0.2500 0.2500 0.2500

E_form (uncorrected)	-0.134	eV/atom



# 4
Material: Sc2SeCl
Method: DFT, PBE
State: relaxed

a = 3.7551 Å, b = 11.1895 Å, c = 5.2161 Å
α = 90.00°, β = 90.00°, γ = 90.00°
Sites, in units of the cell vectors:
Sc: 0.0000 0.0325 0.0000
Sc: 0.0000 0.7573 0.2029
Sc: 0.5000 0.2427 0.7029
Sc: 0.5000 0.9675 0.5000
Se: 0.0000 0.8221 0.7033
Se: 0.5000 0.1779 0.2033
Cl: 0.0000 0.3880 0.6937
Cl: 0.5000 0.6120 0.1937

E_form (uncorrected)	-1.335	eV/atom



# 5
Material: Sc4SeCl
Method: DFT, PBE
State: relaxed

a = 5.9174 Å, b = 5.9174 Å, c = 5.9174 Å
α = 60.00°, β = 60.00°, γ = 60.00°
Sites, in units of the cell vectors:
Sc: 0.1242 0.1242 0.1242
Sc: 0.1242 0.1242 0.6274
Sc: 0.1242 0.6274 0.1242
Sc: 0.6274 0.1242 0.1242
Se: 0.7500 0.7500 0.7500
Cl: 0.5000 0.5000 0.5000

E_form (uncorrected)	0.048	eV/atom



# 6
Material: ScSeCl
Method: DFT, PBE
State: relaxed

a = 4.5978 Å, b = 4.5978 Å, c = 4.5978 Å
α = 60.00°, β = 60.00°, γ = 60.00°
Sites, in units of the cell vectors:
Sc: 0.0000 0.0000 0.0000
Se: 0.2500 0.2500 0.2500
Cl: 0.7500 0.7500 0.7500

E_form (uncorrected)	-1.568	eV/atom



# 7
Material: Sc3SeCl7
Method: DFT, PBE
State: relaxed

a = 7.5117 Å, b = 7.5117 Å, c = 9.1844 Å
α = 127.63°, β = 127.63°, γ = 59.96°
Sites, in units of the cell vectors:
Sc: 0.0000 0.0000 0.0000
Sc: 0.0001 0.4856 0.9998
Sc: 0.4856 0.0001 0.9998
Se: 0.2806 0.2806 0.2388
Cl: 0.2104 0.2104 0.7820
Cl: 0.2106 0.7396 0.7822
Cl: 0.2427 0.7703 0.1994
Cl: 0.7149 0.7149 0.7712
Cl: 0.7396 0.2106 0.7822
Cl: 0.7703 0.2427 0.1994
Cl: 0.7706 0.7706 0.1991

E_form (uncorrected)	-2.033	eV/atom



# 8
Material: ScSeCl2
Method: DFT, PBE
State: relaxed

a = 9.7300 Å, b = 9.7300 Å, c = 9.7300 Å
α = 21.80°, β = 21.80°, γ = 21.80°
Sites, in units of the cell vectors:
Sc: 0.0000 0.0000 0.0000
Se: 0.7211 0.7211 0.7211
Cl: 0.2797 0.2797 0.2797
Cl: 0.5008 0.5008 0.5008

E_form (uncorrected)	-1.117	eV/atom



# 9
Material: ScSeCl
Method: DFT, PBE
State: relaxed

a = 3.8028 Å, b = 6.6196 Å, c = 7.6664 Å
α = 114.48°, β = 104.00°, γ = 90.01°
Sites, in units of the cell vectors:
Sc: 0.2454 0.2649 0.4911
Sc: 0.7546 0.7351 0.5089
Se: 0.3641 0.6918 0.7332
Se: 0.6359 0.3082 0.2668
Cl: 0.1524 0.8222 0.2995
Cl: 0.8476 0.1778 0.7005

E_form (uncorrected)	-1.850	eV/atom



# 10
Material: Sc2SeCl
Method: DFT, PBE
State: relaxed

a = 3.3523 Å, b = 3.3523 Å, c = 6.6672 Å
α = 90.00°, β = 90.00°, γ = 90.00°
Sites, in units of the cell vectors:
Sc: 0.0000 0.0000 0.2358
Sc: 0.0000 0.0000 0.7642
Se: 0.5000 0.5000 0.0000
Cl: 0.5000 0.5000 0.5000

E_form (uncorrected)	-1.123	eV/atom



# 11
Material: Sc2SeCl
Method: DFT, PBE
State: relaxed

a = 6.6532 Å, b = 6.6532 Å, c = 6.6532 Å
α = 34.41°, β = 34.41°, γ = 34.41°
Sites, in units of the cell vectors:
Sc: 0.2346 0.2346 0.2346
Sc: 0.7654 0.7654 0.7654
Se: 0.5000 0.5000 0.5000
Cl: 0.0000 0.0000 0.0000

E_form (uncorrected)	-1.287	eV/atom



# 12
Material: Sc2SeCl
Method: DFT, PBE
State: relaxed

a = 4.7121 Å, b = 4.7121 Å, c = 4.7121 Å
α = 60.00°, β = 60.00°, γ = 60.00°
Sites, in units of the cell vectors:
Sc: 0.2500 0.2500 0.2500
Sc: 0.7500 0.7500 0.7500
Se: 0.0000 0.0000 0.0000
Cl: 0.5000 0.5000 0.5000

E_form (uncorrected)	-1.178	eV/atom



# 13
Material: Sc2SeCl
Method: DFT, PBE
State: relaxed

a = 6.6239 Å, b = 6.6239 Å, c = 6.6239 Å
α = 148.82°, β = 148.39°, γ = 44.99°
Sites, in units of the cell vectors:
Sc: 0.0000 0.0000 0.0000
Sc: 0.7500 0.2500 0.5000
Se: 0.5843 0.5843 0.0000
Cl: 0.3349 0.8349 0.5000

E_form (uncorrected)	-1.340	eV/atom



# 14
Material: ScSeCl2
Method: DFT, PBE
State: relaxed

a = 7.1044 Å, b = 7.1044 Å, c = 3.4206 Å
α = 90.00°, β = 90.00°, γ = 134.51°
Sites, in units of the cell vectors:
Sc: 0.0000 0.0000 0.0000
Se: 0.5000 0.5000 0.0000
Cl: 0.1362 0.8638 0.5000
Cl: 0.8638 0.1362 0.5000

E_form (uncorrected)	-1.487	eV/atom



# 15
Material: Sc2SeCl
Method: DFT, PBE
State: relaxed

a = 5.3093 Å, b = 5.3093 Å, c = 3.6220 Å
α = 109.43°, β = 109.43°, γ = 97.02°
Sites, in units of the cell vectors:
Sc: 0.0000 0.5000 0.0000
Sc: 0.5000 0.0000 0.0000
Se: 0.0000 0.0000 0.0000
Cl: 0.5000 0.5000 0.0000

E_form (uncorrected)	-1.086	eV/atom



# 16
Material: Sc2SeCl
Method: DFT, PBE
State: relaxed

a = 5.3547 Å, b = 5.3547 Å, c = 5.3547 Å
α = 141.64°, β = 108.44°, γ = 84.24°
Sites, in units of the cell vectors:
Sc: 0.2502 0.2502 0.0000
Sc: 0.7498 0.7498 0.0000
Se: 0.5000 0.0000 0.5000
Cl: 0.0000 0.5000 0.5000

E_form (uncorrected)	-1.104	eV/atom



# 17
Material: ScSeCl3
Method: DFT, PBE
State: relaxed

a = 5.0160 Å, b = 5.0160 Å, c = 5.0160 Å
α = 90.00°, β = 90.00°, γ = 90.00°
Sites, in units of the cell vectors:
Sc: 0.0000 0.0000 0.0000
Se: 0.5000 0.5000 0.5000
Cl: 0.0000 0.0000 0.5000
Cl: 0.0000 0.5000 0.0000
Cl: 0.5000 0.0000 0.0000

E_form (uncorrected)	-1.048	eV/atom



# 18
Material: ScSeCl2
Method: DFT, PBE
State: relaxed

a = 7.0254 Å, b = 7.0254 Å, c = 7.0254 Å
α = 98.16°, β = 98.16°, γ = 135.74°
Sites, in units of the cell vectors:
Sc: 0.0000 0.0000 0.0000
Sc: 0.7500 0.2500 0.5000
Se: 0.2500 0.7500 0.5000
Se: 0.5000 0.5000 0.0000
Cl: 0.3750 0.2227 0.3477
Cl: 0.7773 0.1250 0.1523
Cl: 0.8750 0.0273 0.6523
Cl: 0.9727 0.6250 0.8477

E_form (uncorrected)	-1.288	eV/atom



# 19
Material: ScSeCl
Method: DFT, PBE
State: relaxed

a = 7.4935 Å, b = 7.3342 Å, c = 3.3630 Å
α = 79.55°, β = 74.26°, γ = 26.19°
Sites, in units of the cell vectors:
Sc: 0.0000 0.0000 0.0000
Se: 0.6081 0.6081 0.3919
Cl: 0.3779 0.3779 0.6221

E_form (uncorrected)	-1.493	eV/atom



# 20
Material: ScSeCl
Method: DFT, PBE
State: relaxed

a = 3.8017 Å, b = 3.8017 Å, c = 6.6831 Å
α = 90.00°, β = 90.00°, γ = 120.00°
Sites, in units of the cell vectors:
Sc: 0.0000 0.0000 0.0000
Se: 0.3333 0.6667 0.2124
Cl: 0.6667 0.3333 0.7691

E_form (uncorrected)	-1.838	eV/atom



# 21
Material: Sc2SeCl
Method: DFT, PBE
State: relaxed

a = 3.6621 Å, b = 5.0843 Å, c = 4.9141 Å
α = 90.00°, β = 109.35°, γ = 90.00°
Sites, in units of the cell vectors:
Sc: 0.0000 0.0000 0.0000
Sc: 0.4933 0.5000 0.4651
Se: 0.1653 0.5000 0.8961
Cl: 0.3627 0.0000 0.5557

E_form (uncorrected)	-1.178	eV/atom



# 22
Material: Sc2Se2Cl
Method: DFT, PBE
State: relaxed

a = 6.8060 Å, b = 6.8060 Å, c = 6.8060 Å
α = 139.21°, β = 139.21°, γ = 59.05°
Sites, in units of the cell vectors:
Sc: 0.1471 0.1471 0.0000
Sc: 0.8529 0.8529 0.0000
Se: 0.2500 0.7500 0.5000
Se: 0.7500 0.2500 0.5000
Cl: 0.5000 0.5000 0.0000

E_form (uncorrected)	-1.193	eV/atom



# 23
Material: Sc2Se2Cl
Method: DFT, PBE
State: relaxed

a = 7.4647 Å, b = 7.4647 Å, c = 3.5930 Å
α = 90.00°, β = 90.00°, γ = 90.00°
Sites, in units of the cell vectors:
Sc: 0.1513 0.3487 0.0000
Sc: 0.3487 0.8487 0.0000
Sc: 0.6513 0.1513 0.0000
Sc: 0.8487 0.6513 0.0000
Se: 0.1436 0.6436 0.5000
Se: 0.3564 0.1436 0.5000
Se: 0.6436 0.8564 0.5000
Se: 0.8564 0.3564 0.5000
Cl: 0.0000 0.0000 0.0000
Cl: 0.5000 0.5000 0.0000

E_form (uncorrected)	-1.629	eV/atom



# 24
Material: ScSeCl2
Method: DFT, PBE
State: relaxed

a = 4.3812 Å, b = 4.2734 Å, c = 5.0777 Å
α = 90.00°, β = 107.07°, γ = 90.00°
Sites, in units of the cell vectors:
Sc: 0.0000 0.0000 0.0000
Se: 0.5000 0.5000 0.0000
Cl: 0.0000 0.0000 0.5000
Cl: 0.5000 0.5000 0.5000

E_form (uncorrected)	-0.912	eV/atom



# 25
Material: Sc2SeCl
Method: DFT, PBE
State: relaxed

a = 3.4666 Å, b = 3.6492 Å, c = 6.5105 Å
α = 90.00°, β = 91.96°, γ = 90.00°
Sites, in units of the cell vectors:
Sc: 0.0168 0.0000 0.2341
Sc: 0.9832 0.0000 0.7659
Se: 0.5000 0.5000 0.0000
Cl: 0.0000 0.5000 0.5000

E_form (uncorrected)	-1.185	eV/atom



# 26
Material: ScSeCl2
Method: DFT, PBE
State: relaxed

a = 5.2925 Å, b = 5.2925 Å, c = 5.2925 Å
α = 131.46°, β = 131.46°, γ = 71.08°
Sites, in units of the cell vectors:
Sc: 0.0000 0.0000 0.0000
Se: 0.5000 0.5000 0.0000
Cl: 0.2500 0.7500 0.5000
Cl: 0.7500 0.2500 0.5000

E_form (uncorrected)	-0.757	eV/atom



# 27
Material: ScSiCl2
Method: DFT, PBE
State: relaxed

a = 5.2428 Å, b = 5.2428 Å, c = 5.2428 Å
α = 131.69°, β = 131.69°, γ = 70.72°
Sites, in units of the cell vectors:
Sc: 0.0000 0.0000 0.0000
Si: 0.5000 0.5000 0.0000
Cl: 0.2500 0.7500 0.5000
Cl: 0.7500 0.2500 0.5000

E_form (uncorrected)	-0.400	eV/atom



# 28
Material: ScSiCl2
Method: DFT, PBE
State: relaxed

a = 4.9558 Å, b = 4.9177 Å, c = 4.9177 Å
α = 41.04°, β = 90.00°, γ = 90.00°
Sites, in units of the cell vectors:
Sc: 0.0000 0.0000 0.0000
Si: 0.5000 0.4068 0.4068
Cl: 0.0000 0.7088 0.7088
Cl: 0.5000 0.1625 0.1625

E_form (uncorrected)	-0.820	eV/atom



# 29
Material: ScSiCl2
Method: DFT, PBE
State: relaxed

a = 10.2008 Å, b = 10.2008 Å, c = 10.2008 Å
α = 18.72°, β = 18.72°, γ = 18.72°
Sites, in units of the cell vectors:
Sc: 0.0000 0.0000 0.0000
Si: 0.5000 0.5000 0.5000
Cl: 0.3886 0.3886 0.3886
Cl: 0.6114 0.6114 0.6114

E_form (uncorrected)	-0.791	eV/atom